[1]
BeVGe3 | GGA-PBE | relaxed

Unit cell a=4.743 b=4.743 c=4.743 alpha=90.00 beta=90.00 gamma=90.00
Space group Pm-3m (No. 221)
Symmetry-distinct sites (fractional):
Be (0.000, 0.000, 0.000)
V (0.500, 0.500, 0.500)
Ge (0.000, 0.500, 0.500)

- Energy of formation from the pure elements: 0.728 eV/atom
- Offset from the most stable computed form: 26 meV per atom
- Spin magnetization: 0.7 μB per cell
- Density of states at the Fermi level: 4.19 states/eV per cell
- Final energy: -4.612 eV/atom

[2]
RbTcS2 | GGA-PBE | relaxed

Unit cell a=10.566 b=10.567 c=15.185 alpha=90.00 beta=100.18 gamma=90.00
Space group C2/c (No. 15)
Symmetry-distinct sites (fractional):
Rb (0.043, 0.184, 0.403)
Rb (0.215, 0.442, 0.097)
Tc (0.093, 0.201, 0.677)
Tc (0.129, 0.423, 0.824)
S (0.000, 0.052, 0.750)
S (0.000, 0.427, 0.250)
S (0.042, 0.313, 0.924)
S (0.213, 0.063, 0.601)
S (0.239, 0.189, 0.248)

- Offset from the most stable computed form: 0 meV per atom
- Spin magnetization: 0.0 μB per cell
- Density of states at the Fermi level: 28.24 states/eV per cell
- Final energy: -5.594 eV/atom
- Raw formation energy: -697 meV per atom

[3]
DySi3Os3 | GGA-PBE | relaxed

Unit cell a=6.6449 b=6.6449 c=19.8875 alpha=90.00 beta=90.00 gamma=120.00
Space group R-3 (No. 148, hexagonal axes)
Symmetry-distinct sites (fractional):
Dy (0.0000, 0.0000, 0.1656)
Si (0.0203, 0.2799, 0.5902)
Os (0.0287, 0.3935, 0.3806)

- Offset from the most stable computed form: 0 meV per atom
- Spin magnetization: 0.0 μB per cell
- Density of states at the Fermi level: 22.97 states/eV per cell
- Final energy: -7.995 eV/atom
- Raw formation energy: -201 meV per atom